# 1
## KBeF4 (PBE)

Data for crystalline KBeF4 at its relaxed geometry.

Cell: 4.9847 4.9847 7.2686 Å, 90.00 90.00 90.00°
Space group P4_2/nmc (No. 137, origin choice 2)
Unique sites:
K1 0.2500 0.7500 0.2500 x2
Be1 0.2500 0.7500 0.7500 x2
F1 0.0100 0.7500 0.6146 x8

Values from the calculation:
As for the density of states at the Fermi level: 0.463 states/eV/atom. The calculation puts the energy relative to the elements, uncorrected at -2.5278 eV per atom.


# 2
## TmPtAu (PBE)

Data for crystalline TmPtAu at its relaxed geometry.

Cell: 4.9977 8.3718 5.6902 Å, 90.00 90.00 90.00°
Space group Cmcm (No. 63)
Unique sites:
Tm1 0.0000 0.1612 0.2500 x4
Pt1 0.0000 0.1782 0.7500 x4
Au1 0.0000 0.5000 0.0000 x4

Values from the calculation:
As for the density of states at the Fermi level: 0.299 states/eV/atom. Its calculated formation energy is -993 meV/atom. Its energy above the most stable polymorph in this dataset is 0 meV per atom.